1.
Compound: PmCoBiRu
Source: Alexandria via LeMat-Bulk
Functional: PBE-GGA
Structure: optimized geometry

## Properties
Its energy relative to the elements is 26 meV/atom. The total energy comes out at -6.2273 eV per atom.

Geometry as POSCAR:
```
PmCoBiRu
1.0
0.000 3.376 3.376
3.376 0.000 3.376
3.376 3.376 0.000
Pm Co Bi Ru
1 1 1 1
Direct
0.000 0.000 0.000 Pm
0.250 0.250 0.250 Co
0.500 0.500 0.500 Bi
0.750 0.750 0.750 Ru
```

***

2.
Compound: Pr4CoBi2
Source: Alexandria via LeMat-Bulk
Functional: PBE-GGA
Structure: optimized geometry

## Properties
For the energy relative to the lowest polymorph listed for this composition, the calculation gives 0 meV per atom. Its energy relative to the elements is -507 meV/atom. The total energy comes out at -5.3622 eV per atom.

Geometry as POSCAR:
```
Pr4CoBi2
1.0
-2.538 2.538 8.710
2.538 -2.538 8.710
2.538 2.538 -8.710
Pr Co Bi
4 1 2
Direct
0.000 0.500 0.500 Pr
0.169 0.169 0.000 Pr
0.500 0.000 0.500 Pr
0.831 0.831 0.000 Pr
0.000 0.000 0.000 Co
0.359 0.359 0.000 Bi
0.641 0.641 0.000 Bi
```

***

3.
Compound: Pr3CoBi
Source: Alexandria via LeMat-Bulk
Functional: PBE-GGA
Structure: optimized geometry

## Properties
For the energy relative to the lowest polymorph listed for this composition, the calculation gives 84 meV per atom. Its energy relative to the elements is -315 meV/atom. The total energy comes out at -5.3802 eV per atom.

Geometry as POSCAR:
```
Pr3CoBi
1.0
5.340 0.000 0.000
0.000 5.340 0.000
0.000 0.000 5.340
Pr Co Bi
3 1 1
Direct
0.000 0.000 0.500 Pr
0.000 0.500 0.000 Pr
0.500 0.000 0.000 Pr
0.000 0.000 0.000 Co
0.500 0.500 0.500 Bi
```

***

4.
Compound: Pr4CoBi2
Source: Alexandria via LeMat-Bulk
Functional: PBE-GGA
Structure: optimized geometry

## Properties
For the energy relative to the lowest polymorph listed for this composition, the calculation gives 16 meV per atom. Its energy relative to the elements is -491 meV/atom. The total energy comes out at -5.3460 eV per atom.

Geometry as POSCAR:
```
Pr4CoBi2
1.0
6.892 0.000 0.000
0.000 6.849 0.000
-3.374 0.000 9.249
Pr Co Bi
8 2 4
Direct
0.193 0.250 0.110 Pr
0.235 0.503 0.761 Pr
0.235 0.997 0.761 Pr
0.296 0.750 0.412 Pr
0.704 0.250 0.588 Pr
0.765 0.003 0.239 Pr
0.765 0.497 0.239 Pr
0.807 0.750 0.890 Pr
0.007 0.750 0.168 Co
0.993 0.250 0.832 Co
0.182 0.250 0.451 Bi
0.329 0.750 0.071 Bi
0.671 0.250 0.929 Bi
0.818 0.750 0.549 Bi
```